A relaxed CaZr3Ge crystal. Source: Alexandria via LeMat-Bulk, functional GGA-PBE.

Cell and atoms, written as CIF:
```
data_CaZr3Ge
_chemical_formula_sum 'Ca1 Zr3 Ge1'
_cell_length_a 5.1789
_cell_length_b 5.1789
_cell_length_c 5.1789
_cell_angle_alpha 90.00
_cell_angle_beta 90.00
_cell_angle_gamma 90.00
_space_group_name_H-M_alt 'P m -3 m'
_space_group_IT_number 221
_space_group_name_Hall '-P 4 2 3'
loop_
_atom_site_label
_atom_site_type_symbol
_atom_site_fract_x
_atom_site_fract_y
_atom_site_fract_z
Ca1 Ca 0.0000 0.0000 0.0000
Zr1 Zr 0.0000 0.5000 0.5000
Ge1 Ge 0.5000 0.5000 0.5000
```

Formation energy = 188 meV/atom
DOS(E_F) = 6.49 states/eV/cell
Total magnetic moment = 0.000 μB/f.u.
Total energy = -6.2647 eV per atom
Energy above the lowest structure with this stoichiometry = 0.000 eV/atom